# 1
Below is ReSn2Sb after structural relaxation, with properties calculated at the PBE level.

Cell: 6.3328 6.3328 7.9036 Å, 66.38 66.38 90.00°
Element x y z (fractional)
Re1 0.0000 0.0000 0.0000
Re2 0.7500 0.2500 0.5000
Sn1 0.6710 0.1250 0.2500
Sn2 0.0790 0.6250 0.2500
Sn3 0.3750 0.3290 0.7500
Sn4 0.8750 0.9210 0.7500
Sb1 0.5000 0.5000 0.0000
Sb2 0.2500 0.7500 0.5000

Results
energy relative to the elements, uncorrected: 0.90 eV/atom
spin magnetization: 0.0 μB/f.u.
raw total energy: -5.25 eV/atom



# 2
Below is CoIr2Pt after structural relaxation, with properties calculated at the PBE level.

Cell: 8.8937 8.8937 8.8937 Å, 17.61 17.61 17.61°
Each line ends with the local moment (μB).
Element x y z (fractional)
Co1 0.7500 0.7500 0.7500  1.57
Ir1 0.0062 0.0062 0.0062  0.19
Ir2 0.4938 0.4938 0.4938  0.19
Pt1 0.2500 0.2500 0.2500  -0.02

Results
spin magnetization: 1.9 μB/f.u.
polymorph energy (0 for the lowest one): 0.043 eV/atom
raw total energy: -7.67 eV/atom



Question: What is the raw total energy in the first record?
Answer: -5.25 eV/atom